The following is a DFT calculation (PBE-GGA) of a geometry-optimized HfCdHg structure.

Results
The calculation puts the total magnetic moment at 0.00 μB/cell. The value obtained for the total energy is -3.665 eV/atom.

Lattice parameters (Å, degrees): 3.346 3.346 11.178 90.00 90.00 90.00
Fractional positions:
Hf  0.000  0.000  0.000
Hf  0.500  0.500  0.500
Cd  0.000  0.000  0.331
Cd  0.000  0.000  0.669
Hg  0.500  0.500  0.166
Hg  0.500  0.500  0.834